#P
A plane-wave DFT calculation with PBE-GGA was carried out for a relaxed structure of Ta2TeAs2.

abc: 3.850 3.850 13.375
angles: 90.00 90.00 90.00
Space group I4/mmm (No. 139)
One atom of each set of equivalent atoms:
Ta 0.000 0.000 0.113
Te 0.000 0.000 0.500
As 0.000 0.500 0.250

Summary:
- M_tot (μB/atom) = 0.00

#Q
A plane-wave DFT calculation with PBE-GGA was carried out for a relaxed structure of Ta2TeAs2.

abc: 4.680 4.680 9.392
angles: 90.00 90.00 90.00
Space group I4/mmm (No. 139)
One atom of each set of equivalent atoms:
Ta 0.000 0.500 0.250
Te 0.000 0.000 0.000
As 0.000 0.000 0.366

Summary:
- M_tot (μB/atom) = 0.00

Most favorable first, least favorable last: #Q, #P

#P
A plane-wave DFT calculation with PBE-GGA was carried out for a relaxed structure of TaTlAs.

abc: 6.554 6.554 6.554
angles: 90.00 90.00 90.00
Space group F-43m (No. 216)
One atom of each set of equivalent atoms:
Ta 0.000 0.000 0.000
Tl 0.250 0.250 0.250
As 0.250 0.250 0.750

Summary:
- M_tot (μB/atom) = 0.02

#Q
A plane-wave DFT calculation with PBE-GGA was carried out for a relaxed structure of TaTlAs.

abc: 6.476 6.476 6.476
angles: 90.00 90.00 90.00
Space group F-43m (No. 216)
One atom of each set of equivalent atoms:
Ta 0.000 0.000 0.000
Tl 0.000 0.000 0.500
As 0.250 0.250 0.250

Summary:
- M_tot (μB/atom) = 0.00

Most favorable first, least favorable last: #P, #Q

#P
A plane-wave DFT calculation with PBE-GGA was carried out for a relaxed structure of UTaAs.

abc: 6.544 6.544 6.544
angles: 90.00 90.00 90.00
Space group F-43m (No. 216)
One atom of each set of equivalent atoms:
U 0.000 0.000 0.000
Ta 0.250 0.250 0.250
As 0.250 0.250 0.750

Summary:
- M_tot (μB/atom) = 0.05

#Q
A plane-wave DFT calculation with PBE-GGA was carried out for a relaxed structure of UTaAs.

abc: 6.434 6.434 6.434
angles: 90.00 90.00 90.00
Space group F-43m (No. 216)
One atom of each set of equivalent atoms:
U 0.000 0.000 0.000
Ta 0.000 0.000 0.500
As 0.250 0.250 0.750

Summary:
- M_tot (μB/atom) = 0.73

Most favorable first, least favorable last: #Q, #P

#P
A plane-wave DFT calculation with PBE-GGA was carried out for a relaxed structure of TcAs3.

abc: 16.563 3.285 5.523
angles: 90.00 90.00 90.00
Space group Pnma (No. 62)
One atom of each set of equivalent atoms:
Tc 0.154 0.250 0.155
As 0.017 0.250 0.344
As 0.119 0.750 0.834
As 0.210 0.750 0.468

Summary:
- M_tot (μB/atom) = 0.00

#Q
A plane-wave DFT calculation with PBE-GGA was carried out for a relaxed structure of TcAs3.

abc: 9.509 3.143 10.805
angles: 90.00 108.57 90.00
Space group P2_1/m (No. 11)
One atom of each set of equivalent atoms:
Tc 0.072 0.250 0.352
Tc 0.364 0.250 0.799
As 0.076 0.750 0.164
As 0.121 0.250 0.604
As 0.167 0.750 0.857
As 0.297 0.750 0.403
As 0.426 0.250 0.069
As 0.449 0.750 0.656

Summary:
- M_tot (μB/atom) = 0.00

Most favorable first, least favorable last: #P, #Q

#P
A plane-wave DFT calculation with PBE-GGA was carried out for a relaxed structure of TcAs.

abc: 4.986 4.413 6.408
angles: 90.00 90.00 90.00
Space group Pmma (No. 51)
One atom of each set of equivalent atoms:
Tc 0.000 0.000 0.000
Tc 0.250 0.500 0.171
As 0.250 0.000 0.367
As 0.250 0.500 0.781

Summary:
- M_tot (μB/atom) = 0.00

#Q
A plane-wave DFT calculation with PBE-GGA was carried out for a relaxed structure of TcAs.

abc: 5.527 5.527 5.527
angles: 90.00 90.00 90.00
Space group F-43m (No. 216)
One atom of each set of equivalent atoms:
Tc 0.000 0.000 0.000
As 0.250 0.250 0.250

Summary:
- M_tot (μB/atom) = 0.01

#R
A plane-wave DFT calculation with PBE-GGA was carried out for a relaxed structure of TcAs.

abc: 6.028 3.192 6.444
angles: 90.00 90.00 90.00
Space group Pnma (No. 62)
One atom of each set of equivalent atoms:
Tc 0.008 0.250 0.196
As 0.194 0.250 0.562

Summary:
- M_tot (μB/atom) = 0.01

#S
A plane-wave DFT calculation with PBE-GGA was carried out for a relaxed structure of TcAs.

abc: 3.1248 3.1248 3.6291
angles: 90.00 90.00 120.00
Space group P-6m2 (No. 187)
One atom of each set of equivalent atoms:
Tc 0.0000 0.0000 0.0000
As 0.3333 0.6667 0.5000

Summary:
- M_tot (μB/atom) = 0.00

Most favorable first, least favorable last: #R, #S, #P, #Q

#P
A plane-wave DFT calculation with PBE-GGA was carried out for a relaxed structure of Tc2As.

abc: 11.106 11.106 11.106
angles: 90.00 90.00 90.00
Space group Fd-3m (No. 227, origin choice 2)
One atom of each set of equivalent atoms:
Tc 0.000 0.000 0.000
As 0.125 0.125 0.125

Summary:
- M_tot (μB/atom) = 2.29

#Q
A plane-wave DFT calculation with PBE-GGA was carried out for a relaxed structure of Tc2As.

abc: 7.298 7.298 7.298
angles: 90.00 90.00 90.00
Space group Fd-3m (No. 227, origin choice 2)
One atom of each set of equivalent atoms:
Tc 0.000 0.000 0.000
As 0.125 0.125 0.625

Summary:
- M_tot (μB/atom) = 0.01

Most favorable first, least favorable last: #Q, #P

#P
A plane-wave DFT calculation with PBE-GGA was carried out for a relaxed structure of UTcAs.

abc: 6.420 6.420 6.420
angles: 90.00 90.00 90.00
Space group F-43m (No. 216)
One atom of each set of equivalent atoms:
U 0.000 0.000 0.000
Tc 0.250 0.250 0.250
As 0.250 0.250 0.750

Summary:
- M_tot (μB/atom) = 0.10

#Q
A plane-wave DFT calculation with PBE-GGA was carried out for a relaxed structure of UTcAs.

abc: 6.291 6.291 6.291
angles: 90.00 90.00 90.00
Space group F-43m (No. 216)
One atom of each set of equivalent atoms:
U 0.000 0.000 0.000
Tc 0.000 0.000 0.500
As 0.250 0.250 0.750

Summary:
- M_tot (μB/atom) = 0.68

Most favorable first, least favorable last: #Q, #P

#P
A plane-wave DFT calculation with PBE-GGA was carried out for a relaxed structure of UTlAs.

abc: 7.033 7.033 7.033
angles: 90.00 90.00 90.00
Space group F-43m (No. 216)
One atom of each set of equivalent atoms:
U 0.000 0.000 0.000
Tl 0.250 0.250 0.250
As 0.250 0.250 0.750

Summary:
- M_tot (μB/atom) = 0.96

#Q
A plane-wave DFT calculation with PBE-GGA was carried out for a relaxed structure of UTlAs.

abc: 6.898 6.898 6.898
angles: 90.00 90.00 90.00
Space group F-43m (No. 216)
One atom of each set of equivalent atoms:
U 0.000 0.000 0.000
Tl 0.000 0.000 0.500
As 0.250 0.250 0.750

Summary:
- M_tot (μB/atom) = 0.94

Most favorable first, least favorable last: #Q, #P

#P
A plane-wave DFT calculation with PBE-GGA was carried out for a relaxed structure of UAsW.

abc: 6.480 6.480 6.480
angles: 90.00 90.00 90.00
Space group F-43m (No. 216)
One atom of each set of equivalent atoms:
U 0.000 0.000 0.000
As 0.250 0.250 0.750
W 0.250 0.250 0.250

Summary:
- M_tot (μB/atom) = 0.01

#Q
A plane-wave DFT calculation with PBE-GGA was carried out for a relaxed structure of UAsW.

abc: 6.348 6.348 6.348
angles: 90.00 90.00 90.00
Space group F-43m (No. 216)
One atom of each set of equivalent atoms:
U 0.000 0.000 0.000
As 0.250 0.250 0.250
W 0.000 0.000 0.500

Summary:
- M_tot (μB/atom) = 0.87

Most favorable first, least favorable last: #Q, #P

#P
A plane-wave DFT calculation with PBE-GGA was carried out for a relaxed structure of Zr4As3.

abc: 8.0377 8.0377 5.2282
angles: 90.00 90.00 120.00
Space group P6_3/m (No. 176)
One atom of each set of equivalent atoms:
Zr 0.0092 0.7602 0.2500
Zr 0.3333 0.6667 0.2500
As 0.0353 0.6235 0.7500

Summary:
- M_tot (μB/atom) = 0.00

#Q
A plane-wave DFT calculation with PBE-GGA was carried out for a relaxed structure of Zr4As3.

abc: 8.1826 8.1826 5.4080
angles: 90.00 90.00 120.00
Space group P6_3/m (No. 176)
One atom of each set of equivalent atoms:
Zr 0.0961 0.6711 0.2500
Zr 0.3333 0.6667 0.7500
As 0.0502 0.7298 0.7500

Summary:
- M_tot (μB/atom) = 0.01

Most favorable first, least favorable last: #Q, #P

#P
A plane-wave DFT calculation with PBE-GGA was carried out for a relaxed structure of BaB4Au.

abc: 3.152 5.405 9.744
angles: 90.00 90.00 90.00
Space group Immm (No. 71)
One atom of each set of equivalent atoms:
Ba 0.000 0.000 0.000
B 0.000 0.329 0.252
Au 0.000 0.000 0.500

#Q
A plane-wave DFT calculation with PBE-GGA was carried out for a relaxed structure of BaB4Au.

abc: 3.2381 3.2381 8.2792
angles: 90.00 90.00 120.00
Space group P6/mmm (No. 191)
One atom of each set of equivalent atoms:
Ba 0.0000 0.0000 0.0000
B 0.3333 0.6667 0.2885
Au 0.0000 0.0000 0.5000

Most favorable first, least favorable last: #P, #Q

#P
A plane-wave DFT calculation with PBE-GGA was carried out for a relaxed structure of BaBAu.

abc: 6.706 6.706 6.706
angles: 90.00 90.00 90.00
Space group F-43m (No. 216)
One atom of each set of equivalent atoms:
Ba 0.000 0.000 0.000
B 0.250 0.250 0.750
Au 0.000 0.000 0.500

#Q
A plane-wave DFT calculation with PBE-GGA was carried out for a relaxed structure of BaBAu.

abc: 7.266 7.266 7.266
angles: 90.00 90.00 90.00
Space group F-43m (No. 216)
One atom of each set of equivalent atoms:
Ba 0.000 0.000 0.000
B 0.250 0.250 0.250
Au 0.250 0.250 0.750

Most favorable first, least favorable last: #P, #Q